A relaxed structure of SrMnCdO3. Source: the Alexandria database, functional GGA+U.

abc: 5.8636 3.4246 8.6688
angles: 90.00 101.76 90.00
Last column: nearest neighbours and their distance in Å.
Element x y z (fractional)
1 Sr 0.1559 0.2500 0.1961  7 O 2.54-2.70
2 Sr 0.8441 0.7500 0.8039  7 O 2.54-2.70
3 Mn 0.3629 0.2500 0.8579  5 O 2.14-2.31
4 Mn 0.6371 0.7500 0.1421  5 O 2.14-2.31
5 Cd 0.2640 0.7500 0.5513  6 O 2.37-2.44
6 Cd 0.7360 0.2500 0.4487  6 O 2.37-2.44
7 O 0.0541 0.2500 0.6677  1 Mn 2.19, 3 Cd 2.37-2.44
8 O 0.2692 0.7500 0.9834  3 Mn 2.16-2.31
9 O 0.4593 0.7500 0.3350  1 Mn 2.14, 1 Cd 2.39
10 O 0.5407 0.2500 0.6650  1 Mn 2.14, 1 Cd 2.39
11 O 0.7308 0.2500 0.0166  3 Mn 2.16-2.31
12 O 0.9459 0.7500 0.3323  1 Mn 2.19, 3 Cd 2.37-2.44

Computed properties:
Space group: No. 11
DFT total energy, eV/atom: -5.922